Entry 1:
A relaxed Al2Zn2Ni3 crystal. Source: Alexandria via LeMat-Bulk, functional PBE.

Summary:
E_form: -416 meV/atom
Symmetry: No. 166
Raw total energy: -4.33 eV/atom

The structure in POSCAR format:
```
Al2Zn2Ni3
1.0
2.026 1.170 6.507
-2.026 1.170 6.507
0.000 -2.339 6.507
Al Zn Ni
2 2 3
Direct
0.116 0.116 0.116
0.884 0.884 0.884
0.369 0.369 0.369
0.631 0.631 0.631
0.241 0.241 0.241
0.500 0.500 0.500
0.759 0.759 0.759
```

=====

Entry 2:
A relaxed Al2Zn3Ni4 crystal. Source: Alexandria via LeMat-Bulk, functional PBE.

Summary:
E_form: -374 meV/atom
Symmetry: No. 12
Raw total energy: -4.20 eV/atom

The structure in POSCAR format:
```
Al2Zn3Ni4
1.0
3.757 -1.928 0.000
3.757 1.928 0.000
-1.135 0.000 7.696
Al Zn Ni
2 3 4
Direct
0.169 0.169 0.211
0.831 0.831 0.789
0.161 0.161 0.562
0.500 0.500 0.000
0.839 0.839 0.438
0.168 0.168 0.888
0.494 0.494 0.676
0.506 0.506 0.324
0.832 0.832 0.112
```

=====

Entry 3:
A relaxed AlZnNi14 crystal. Source: Alexandria via LeMat-Bulk, functional PBE.

Summary:
E_form: -96 meV/atom
Symmetry: No. 38
Raw total energy: -5.47 eV/atom

The structure in POSCAR format:
```
AlZnNi14
1.0
8.175 0.000 0.000
0.000 2.534 4.304
0.000 -2.534 4.304
Al Zn Ni
1 1 14
Direct
0.000 0.000 0.000
0.000 0.500 0.500
0.000 0.000 0.499
0.000 0.499 0.000
0.251 0.828 0.828
0.252 0.328 0.830
0.252 0.830 0.328
0.253 0.328 0.328
0.500 0.160 0.160
0.500 0.160 0.660
0.500 0.660 0.160
0.500 0.660 0.660
0.747 0.328 0.328
0.748 0.328 0.830
0.748 0.830 0.328
0.749 0.828 0.828
```

=====

Entry 4:
A relaxed AlZnNi2 crystal. Source: Alexandria via LeMat-Bulk, functional PBE.

Summary:
E_form: -284 meV/atom
Symmetry: No. 166
Raw total energy: -4.43 eV/atom

The structure in POSCAR format:
```
AlZnNi2
1.0
1.351 0.780 7.900
-1.351 0.780 7.900
0.000 -1.560 7.900
Al Zn Ni
1 1 2
Direct
0.000 0.000 0.000
0.500 0.500 0.500
0.253 0.253 0.253
0.747 0.747 0.747
```

=====

Entry 5:
A relaxed AlZnNi2 crystal. Source: Alexandria via LeMat-Bulk, functional PBE.

Summary:
E_form: -370 meV/atom
Symmetry: No. 8
Raw total energy: -4.52 eV/atom

The structure in POSCAR format:
```
AlZnNi2
1.0
4.514 -1.364 0.000
4.514 1.364 0.000
-1.405 0.000 3.983
Al Zn Ni
1 1 2
Direct
0.000 0.000 0.000
0.762 0.762 0.378
0.258 0.258 0.875
0.507 0.507 0.504
```

=====

Entry 6:
A relaxed AlZn2Ni2 crystal. Source: Alexandria via LeMat-Bulk, functional PBE.

Summary:
E_form: -185 meV/atom
Symmetry: No. 127
Raw total energy: -3.76 eV/atom

The structure in POSCAR format:
```
AlZn2Ni2
1.0
6.870 0.000 0.000
0.000 6.870 0.000
0.000 0.000 2.767
Al Zn Ni
2 4 4
Direct
0.000 0.000 0.000
0.500 0.500 0.000
0.127 0.373 0.000
0.373 0.873 0.000
0.627 0.127 0.000
0.873 0.627 0.000
0.172 0.672 0.500
0.328 0.172 0.500
0.672 0.828 0.500
0.828 0.328 0.500
```

=====

Entry 7:
A relaxed Al3ZnNi crystal. Source: Alexandria via LeMat-Bulk, functional PBE.

Summary:
E_form: -237 meV/atom
Symmetry: No. 2
Raw total energy: -3.89 eV/atom
Energy relative to the lowest polymorph listed for this composition: 0 meV per atom

The structure in POSCAR format:
```
Al3ZnNi
1.0
4.612 0.000 0.000
0.015 8.506 0.000
0.014 3.813 7.610
Al Zn Ni
12 4 4
Direct
0.001 0.155 0.346
0.086 0.810 0.310
0.249 0.940 0.941
0.250 0.441 0.440
0.412 0.309 0.809
0.499 0.654 0.846
0.501 0.346 0.154
0.588 0.691 0.191
0.750 0.559 0.560
0.751 0.060 0.059
0.914 0.190 0.690
0.999 0.845 0.654
0.046 0.590 0.091
0.454 0.090 0.591
0.546 0.910 0.409
0.954 0.410 0.909
0.250 0.115 0.115
0.250 0.615 0.615
0.750 0.385 0.385
0.750 0.885 0.885
```

=====

Entry 8:
A relaxed AlZnNi2 crystal. Source: Alexandria via LeMat-Bulk, functional PBE.

Summary:
E_form: -283 meV/atom
Symmetry: No. 8
Raw total energy: -4.43 eV/atom

The structure in POSCAR format:
```
AlZnNi2
1.0
2.341 -1.344 0.000
2.341 1.344 0.000
-1.607 0.000 7.912
Al Zn Ni
1 1 2
Direct
0.000 0.000 0.000
0.167 0.167 0.500
0.414 0.414 0.243
0.586 0.586 0.757
```

=====

Entry 9:
A relaxed AlZn4Ni15 crystal. Source: Alexandria via LeMat-Bulk, functional PBE.

Summary:
E_form: -169 meV/atom
Symmetry: No. 123
Raw total energy: -4.95 eV/atom

The structure in POSCAR format:
```
AlZn4Ni15
1.0
3.562 0.000 0.000
0.000 3.562 0.000
0.000 0.000 18.022
Al Zn Ni
1 4 15
Direct
0.000 0.000 0.000
0.000 0.000 0.200
0.000 0.000 0.400
0.000 0.000 0.600
0.000 0.000 0.800
0.000 0.500 0.099
0.000 0.500 0.300
0.000 0.500 0.500
0.000 0.500 0.700
0.000 0.500 0.901
0.500 0.000 0.099
0.500 0.000 0.300
0.500 0.000 0.500
0.500 0.000 0.700
0.500 0.000 0.901
0.500 0.500 0.000
0.500 0.500 0.199
0.500 0.500 0.400
0.500 0.500 0.600
0.500 0.500 0.801
```

=====

Entry 10:
A relaxed AlZnNi crystal. Source: Alexandria via LeMat-Bulk, functional PBE.

Summary:
E_form: -234 meV/atom
Symmetry: No. 156
Raw total energy: -3.83 eV/atom

The structure in POSCAR format:
```
AlZnNi
1.0
4.114 0.000 0.000
-2.057 3.563 0.000
0.000 0.000 2.681
Al Zn Ni
1 1 1
Direct
0.000 0.000 0.000
0.333 0.667 0.611
0.667 0.333 0.364
```

=====

Entry 11:
A relaxed AlZn3Ni12 crystal. Source: Alexandria via LeMat-Bulk, functional PBE.

Summary:
E_form: -188 meV/atom
Symmetry: No. 123
Raw total energy: -5.00 eV/atom

The structure in POSCAR format:
```
AlZn3Ni12
1.0
3.572 0.000 0.000
0.000 3.572 0.000
0.000 0.000 14.317
Al Zn Ni
1 3 12
Direct
0.000 0.000 0.000
0.000 0.000 0.250
0.000 0.000 0.500
0.000 0.000 0.750
0.000 0.500 0.124
0.000 0.500 0.375
0.000 0.500 0.625
0.000 0.500 0.876
0.500 0.000 0.124
0.500 0.000 0.375
0.500 0.000 0.625
0.500 0.000 0.876
0.500 0.500 0.000
0.500 0.500 0.249
0.500 0.500 0.500
0.500 0.500 0.751
```

=====

Entry 12:
A relaxed AlZnNi2 crystal. Source: Alexandria via LeMat-Bulk, functional PBE.

Summary:
E_form: -364 meV/atom
Symmetry: No. 44
Raw total energy: -4.51 eV/atom

The structure in POSCAR format:
```
AlZnNi2
1.0
-1.752 1.773 3.928
1.752 -1.773 3.928
1.752 1.773 -3.928
Al Zn Ni
1 1 2
Direct
0.000 0.000 0.000
0.749 0.249 0.500
0.250 0.750 0.500
0.500 0.500 0.000
```

=====

Entry 13:
A relaxed Al2Zn2Ni15 crystal. Source: Alexandria via LeMat-Bulk, functional PBE.

Summary:
E_form: -26 meV/atom
Symmetry: No. 166
Raw total energy: -5.12 eV/atom

The structure in POSCAR format:
```
Al2Zn2Ni15
1.0
4.017 2.319 4.123
-4.017 2.319 4.123
0.000 -4.638 4.123
Al Zn Ni
2 2 15
Direct
0.131 0.131 0.131
0.869 0.869 0.869
0.400 0.400 0.400
0.600 0.600 0.600
0.000 0.500 0.500
0.161 0.161 0.671
0.161 0.671 0.161
0.169 0.500 0.831
0.169 0.831 0.500
0.329 0.839 0.839
0.500 0.000 0.500
0.500 0.169 0.831
0.500 0.500 0.000
0.500 0.831 0.169
0.671 0.161 0.161
0.831 0.169 0.500
0.831 0.500 0.169
0.839 0.329 0.839
0.839 0.839 0.329
```

=====

Entry 14:
A relaxed AlZn2Ni2 crystal. Source: Alexandria via LeMat-Bulk, functional PBE.

Summary:
E_form: -229 meV/atom
Symmetry: No. 127
Raw total energy: -3.80 eV/atom

The structure in POSCAR format:
```
AlZn2Ni2
1.0
6.191 0.000 0.000
0.000 6.191 0.000
0.000 0.000 3.508
Al Zn Ni
2 4 4
Direct
0.000 0.000 0.000
0.500 0.500 0.000
0.156 0.344 0.500
0.344 0.844 0.500
0.656 0.156 0.500
0.844 0.656 0.500
0.143 0.643 0.000
0.357 0.143 0.000
0.643 0.857 0.000
0.857 0.357 0.000
```

=====

Entry 15:
A relaxed AlZnNi2 crystal. Source: Alexandria via LeMat-Bulk, functional PBE.

Summary:
E_form: -280 meV/atom
Symmetry: No. 216
Raw total energy: -4.42 eV/atom

The structure in POSCAR format:
```
AlZnNi2
1.0
0.000 2.904 2.904
2.904 0.000 2.904
2.904 2.904 0.000
Al Zn Ni
1 1 2
Direct
0.000 0.000 0.000
0.750 0.750 0.750
0.250 0.250 0.250
0.500 0.500 0.500
```

=====

Entry 16:
A relaxed AlZnNi crystal. Source: Alexandria via LeMat-Bulk, functional PBE.

Summary:
E_form: -212 meV/atom
Symmetry: No. 216
Raw total energy: -3.81 eV/atom

The structure in POSCAR format:
```
AlZnNi
1.0
0.000 2.838 2.838
2.838 0.000 2.838
2.838 2.838 0.000
Al Zn Ni
1 1 1
Direct
0.000 0.000 0.000
0.500 0.500 0.500
0.250 0.250 0.250
```

=====

Entry 17:
A relaxed Al2ZnNi5 crystal. Source: Alexandria via LeMat-Bulk, functional PBE.

Summary:
E_form: -402 meV/atom
Symmetry: No. 139
Raw total energy: -5.11 eV/atom

The structure in POSCAR format:
```
Al2ZnNi5
1.0
-2.076 2.076 5.450
2.076 -2.076 5.450
2.076 2.076 -5.450
Al Zn Ni
2 1 5
Direct
0.245 0.245 0.000
0.755 0.755 0.000
0.500 0.500 0.000
0.000 0.000 0.000
0.125 0.625 0.500
0.375 0.875 0.500
0.625 0.125 0.500
0.875 0.375 0.500
```

=====

Entry 18:
A relaxed ZrAl2Ni crystal. Source: Alexandria via LeMat-Bulk, functional PBE.

Summary:
E_form: -279 meV/atom
Symmetry: No. 164
Raw total energy: -5.73 eV/atom

The structure in POSCAR format:
```
ZrAl2Ni
1.0
2.970 0.000 0.000
-1.485 2.572 0.000
0.000 0.000 8.648
Zr Al Ni
1 2 1
Direct
0.000 0.000 0.000
0.333 0.667 0.710
0.667 0.333 0.290
0.000 0.000 0.500
```

=====

Entry 19:
A relaxed Zr5Al2Ni crystal. Source: Alexandria via LeMat-Bulk, functional PBE.

Summary:
E_form: -271 meV/atom
Symmetry: No. 55
Raw total energy: -7.27 eV/atom
Energy relative to the lowest polymorph listed for this composition: 0 meV per atom

The structure in POSCAR format:
```
Zr5Al2Ni
1.0
6.094 0.000 0.000
0.000 11.911 0.000
0.000 0.000 4.377
Zr Al Ni
10 4 2
Direct
0.000 0.000 0.000
0.092 0.267 0.000
0.177 0.606 0.500
0.323 0.106 0.500
0.408 0.767 0.000
0.500 0.500 0.000
0.592 0.233 0.000
0.677 0.894 0.500
0.823 0.394 0.500
0.908 0.733 0.000
0.159 0.860 0.500
0.341 0.360 0.500
0.659 0.640 0.500
0.841 0.140 0.500
0.000 0.500 0.000
0.500 0.000 0.000
```

=====

Entry 20:
A relaxed ZrAlNi2 crystal. Source: Alexandria via LeMat-Bulk, functional PBE.

Summary:
E_form: 36 meV/atom
Symmetry: No. 156
Raw total energy: -5.93 eV/atom

The structure in POSCAR format:
```
ZrAlNi2
1.0
2.929 0.000 0.000
-1.465 2.537 0.000
0.000 0.000 8.488
Zr Al Ni
1 1 2
Direct
0.000 0.000 0.000
0.667 0.333 0.528
0.333 0.667 0.738
0.667 0.333 0.247
```

=====

Sequential total moment output: 0.0, 0.0, 6.4, 0.0, 0.0, 0.0, 0.0, 0.0, 6.1, 0.0, 4.3, 0.0, 4.4, 0.0, 0.0, 0.0, 0.0, 0.0, 0.0, 0.0 μB per formula unit
Sequential D(E_F) output: 2.89, 2.88, 24.51, 3.96, 2.35, 1.86, 1.64, 2.53, 21.07, 0.87, 16.10, 2.17, 22.93, 2.25, 1.64, 1.40, 5.27, 3.89, 11.62, 3.45 states/eV/f.u.
Sequential mass density output: 6.475, 7.223, 8.514, 6.975, 7.104, 6.999, 4.563, 6.999, 8.487, 6.383, 8.430, 7.137, 7.676, 6.796, 7.111, 5.490, 7.297, 5.124, 5.945, 6.204 g cm⁻³